(1)
Density functional theory data (PBE-GGA) for a relaxed structure of Gd6Si2Pd.

Cell lengths 7.9051, 7.9051, 4.2511 Å; angles 90.00, 90.00, 120.00 degrees
With the nearest neighbours (Å) after each atom.
Space group P-62m (No. 189)
Unique sites:
Gd: 0.0000 0.2591 0.0000 x3  2 Pd 2.95, 2 Si 2.97
Gd: 0.0000 0.5860 0.5000 x3  4 Si 3.19, 1 Pd 3.27, 6 Gd 3.35-3.57
Si: 0.3333 0.6667 0.0000 x2  9 Gd 2.97-3.19
Pd: 0.0000 0.0000 0.5000 x1  9 Gd 2.95-3.27

## Properties
The calculation puts the raw total energy at -5.408 eV/atom. The volume comes out at 25.56 Å³/atom.

(2)
Density functional theory data (PBE-GGA) for a relaxed structure of LuCoSi2.

Cell lengths 6.2571, 6.2571, 6.2571 Å; angles 90.00, 90.00, 90.00 degrees
With the nearest neighbours (Å) after each atom.
Space group F-43m (No. 216)
Unique sites:
Lu: 0.0000 0.0000 0.0000 x4  4 Co 2.71, 4 Si 2.71
Co: 0.2500 0.2500 0.7500 x4  4 Si 2.71, 4 Lu 2.71
Si: 0.0000 0.0000 0.5000 x4  4 Si 2.71, 4 Co 2.71
Si: 0.2500 0.2500 0.2500 x4  4 Lu 2.71, 4 Si 2.71

## Properties
The calculation puts the raw total energy at -5.716 eV/atom. The volume comes out at 15.31 Å³/atom.

(3)
Density functional theory data (PBE-GGA) for a relaxed structure of LaAlNi.

Cell lengths 6.4591, 6.4591, 6.4591 Å; angles 90.00, 90.00, 90.00 degrees
With the nearest neighbours (Å) after each atom.
Space group F-43m (No. 216)
Unique sites:
La: 0.0000 0.0000 0.0000 x4  4 Ni 2.80
Al: 0.0000 0.0000 0.5000 x4  4 Ni 2.80
Ni: 0.2500 0.2500 0.7500 x4  4 Al 2.80, 4 La 2.80

## Properties
The calculation puts the raw total energy at -5.030 eV/atom. The volume comes out at 22.46 Å³/atom.

(4)
Density functional theory data (PBE-GGA) for a relaxed structure of LaY2Ga2Co4.

Cell lengths 9.9113, 4.1155, 8.1526 Å; angles 90.00, 98.82, 90.00 degrees
With the nearest neighbours (Å) after each atom.
Space group C2/m (No. 12)
Unique sites:
La: 0.0000 0.0000 0.0000 x2  2 Co 2.69
Y: 0.1288 0.5000 0.3799 x4  6 Co 2.86-2.93, 4 Ga 3.11-3.18
Ga: 0.1788 0.5000 0.7707 x4  5 Co 2.44-2.52
Co: 0.0797 0.0000 0.6206 x4  1 Co 2.33, 2 Ga 2.52
Co: 0.2471 0.5000 0.0808 x4  3 Ga 2.44-2.51, 2 Co 2.45, 1 La 2.69

## Properties
The calculation puts the raw total energy at -6.184 eV/atom. The volume comes out at 18.26 Å³/atom.